## NaNdSnBr6 (PBE)

Data for crystalline NaNdSnBr6 at its relaxed geometry.

Lattice parameters (Å, degrees): 7.4407 7.4407 13.1846 90.00 90.00 120.00
Space group P-31c (No. 163)
Asymmetric unit:
Na  0.3333  0.6667  0.2500
Nd  0.3333  0.6667  0.7500
Sn  0.0000  0.0000  0.0000
Br  0.0087  0.3449  0.6253

Values from the calculation:
Raw formation energy, eV/atom: -1.414
M_tot, μB/f.u.: 0.00